1.
First-principles (GGA-PBE) data for an optimized crystal structure of Lu2ThCd, as listed in Alexandria via LeMat-Bulk.

## Properties
Symmetry   R-3m, No. 166
Energy relative to the elements   -1.824 kcal/mol of atoms
Size of the total moment   0.0 μB per formula unit
Uncorrected energy   -4.4234 eV per atom

Cell: 3.533 3.533 31.663 Å, 90.00 90.00 120.00°
Atoms (fractional coordinates):
Lu 0.000 0.000 0.245
Lu 0.000 0.000 0.755
Lu 0.333 0.667 0.422
Lu 0.333 0.667 0.911
Lu 0.667 0.333 0.089
Lu 0.667 0.333 0.578
Th 0.000 0.000 0.000
Th 0.333 0.667 0.667
Th 0.667 0.333 0.333
Cd 0.000 0.000 0.500
Cd 0.333 0.667 0.167
Cd 0.667 0.333 0.833

---

2.
First-principles (GGA-PBE) data for an optimized crystal structure of CaCu3P3, as listed in Alexandria via LeMat-Bulk.

## Properties
Symmetry   Pm-3n, No. 223
Energy relative to the elements   -4.696 kcal/mol of atoms
Size of the total moment   0.0 μB per formula unit
Uncorrected energy   -4.5636 eV per atom

Cell: 6.372 6.372 6.372 Å, 90.00 90.00 90.00°
Atoms (fractional coordinates):
Ca 0.000 0.000 0.000
Ca 0.500 0.500 0.500
Cu 0.000 0.250 0.500
Cu 0.000 0.750 0.500
Cu 0.250 0.500 0.000
Cu 0.500 0.000 0.250
Cu 0.500 0.000 0.750
Cu 0.750 0.500 0.000
P 0.000 0.500 0.250
P 0.000 0.500 0.750
P 0.250 0.000 0.500
P 0.500 0.250 0.000
P 0.500 0.750 0.000
P 0.750 0.000 0.500